A geometry-optimized YNbRu2Se structure, computed with PBE-GGA.

Structure (POSCAR):
```
YNbRu2Se
1.0
4.831 0.000 0.000
0.000 4.831 0.000
0.000 0.000 5.275
Y Nb Ru Se
1 1 2 1
Direct
0.000 0.000 0.000 Y
0.000 0.000 0.500 Nb
0.000 0.500 0.000 Ru
0.500 0.000 0.000 Ru
0.500 0.500 0.500 Se
```

Final energy   -5.693 eV/atom
Total magnetization   0.68 μB per cell
DOS(E_F)   7.8 states/eV/f.u.

A geometry-optimized Nb2SiRu6 structure, computed with PBE-GGA.

Structure (POSCAR):
```
Nb2SiRu6
1.0
-1.390 4.057 5.953
1.390 -4.057 5.953
1.390 4.057 -5.953
Nb Si Ru
2 1 6
Direct
0.130 0.130 0.000 Nb
0.870 0.870 0.000 Nb
0.500 0.000 0.500 Si
0.157 0.816 0.342 Ru
0.238 0.500 0.738 Ru
0.474 0.816 0.658 Ru
0.526 0.184 0.342 Ru
0.762 0.500 0.262 Ru
0.843 0.184 0.658 Ru
```

Final energy   -9.132 eV/atom
Total magnetization   0.00 μB per cell
DOS(E_F)   8.6 states/eV/f.u.

A geometry-optimized NbSiRu structure, computed with PBE-GGA.

Structure (POSCAR):
```
NbSiRu
1.0
2.947 0.000 0.000
0.000 2.947 0.000
0.000 0.000 10.128
Nb Si Ru
2 2 2
Direct
0.000 0.000 0.000 Nb
0.500 0.500 0.500 Nb
0.000 0.000 0.682 Si
0.500 0.500 0.182 Si
0.000 0.000 0.308 Ru
0.500 0.500 0.808 Ru
```

Final energy   -8.788 eV/atom
Total magnetization   0.00 μB per cell
DOS(E_F)   1.9 states/eV/f.u.

A geometry-optimized Nb2Si2Ru structure, computed with PBE-GGA.

Structure (POSCAR):
```
Nb2Si2Ru
1.0
6.125 0.000 0.000
0.000 6.125 0.000
0.000 0.000 4.096
Nb Si Ru
4 4 2
Direct
0.160 0.340 0.000 Nb
0.340 0.840 0.000 Nb
0.660 0.160 0.000 Nb
0.840 0.660 0.000 Nb
0.139 0.639 0.500 Si
0.361 0.139 0.500 Si
0.639 0.861 0.500 Si
0.861 0.361 0.500 Si
0.000 0.000 0.500 Ru
0.500 0.500 0.500 Ru
```

Final energy   -8.686 eV/atom
Total magnetization   0.00 μB per cell
DOS(E_F)   0.4 states/eV/f.u.

A geometry-optimized NbSi3Ru structure, computed with PBE-GGA.

Structure (POSCAR):
```
NbSi3Ru
1.0
4.759 0.000 0.000
0.000 4.759 0.000
0.000 0.000 4.759
Nb Si Ru
1 3 1
Direct
0.000 0.000 0.000 Nb
0.000 0.000 0.500 Si
0.000 0.500 0.000 Si
0.500 0.000 0.000 Si
0.500 0.500 0.500 Ru
```

Total magnetization   2.98 μB per cell
DOS(E_F)   1.6 states/eV/f.u.
Energy relative to the lowest polymorph listed for this composition   443 meV/atom

A geometry-optimized Nb2SiRu structure, computed with PBE-GGA.

Structure (POSCAR):
```
Nb2SiRu
1.0
3.820 0.000 0.000
0.000 3.820 0.000
0.000 0.000 18.731
Nb Si Ru
8 4 4
Direct
0.237 0.250 0.125 Nb
0.250 0.737 0.375 Nb
0.250 0.763 0.875 Nb
0.263 0.250 0.625 Nb
0.737 0.750 0.625 Nb
0.750 0.237 0.875 Nb
0.750 0.263 0.375 Nb
0.763 0.750 0.125 Nb
0.000 0.000 0.000 Si
0.000 0.500 0.250 Si
0.500 0.000 0.750 Si
0.500 0.500 0.500 Si
0.000 0.000 0.500 Ru
0.000 0.500 0.750 Ru
0.500 0.000 0.250 Ru
0.500 0.500 0.000 Ru
```

Final energy   -8.430 eV/atom
Total magnetization   0.00 μB per cell
DOS(E_F)   3.5 states/eV/f.u.

A geometry-optimized NbSiRu structure, computed with PBE-GGA.

Structure (POSCAR):
```
NbSiRu
1.0
-3.634 5.633 3.274
3.634 -5.633 3.274
3.634 5.633 -3.274
Nb Si Ru
6 6 6
Direct
0.002 0.250 0.252 Nb
0.146 0.114 0.532 Nb
0.180 0.626 0.054 Nb
0.572 0.126 0.946 Nb
0.582 0.614 0.468 Nb
0.998 0.750 0.748 Nb
0.247 0.077 0.164 Si
0.247 0.583 0.670 Si
0.558 0.337 0.721 Si
0.616 0.837 0.279 Si
0.913 0.083 0.836 Si
0.913 0.577 0.330 Si
0.334 0.334 0.000 Ru
0.334 0.834 0.500 Ru
0.580 0.171 0.342 Ru
0.580 0.738 0.909 Ru
0.829 0.238 0.658 Ru
0.829 0.671 0.091 Ru
```

Final energy   -8.932 eV/atom
Total magnetization   0.00 μB per cell
DOS(E_F)   2.1 states/eV/f.u.

A geometry-optimized NbSi4Ru5 structure, computed with PBE-GGA.

Structure (POSCAR):
```
NbSi4Ru5
1.0
2.938 0.000 0.000
0.000 2.938 0.000
0.000 0.000 15.430
Nb Si Ru
1 4 5
Direct
0.000 0.000 0.000 Nb
0.000 0.000 0.211 Si
0.000 0.000 0.404 Si
0.000 0.000 0.596 Si
0.000 0.000 0.789 Si
0.500 0.500 0.123 Ru
0.500 0.500 0.311 Ru
0.500 0.500 0.500 Ru
0.500 0.500 0.689 Ru
0.500 0.500 0.877 Ru
```

Final energy   -8.403 eV/atom
Total magnetization   0.00 μB per cell
DOS(E_F)   5.2 states/eV/f.u.

A geometry-optimized NbSiRu structure, computed with PBE-GGA.

Structure (POSCAR):
```
NbSiRu
1.0
6.499 0.000 0.000
0.000 3.735 0.000
-0.163 0.000 11.109
Nb Si Ru
6 6 6
Direct
0.017 0.250 0.207 Nb
0.343 0.750 0.579 Nb
0.472 0.750 0.885 Nb
0.528 0.250 0.115 Nb
0.657 0.250 0.421 Nb
0.983 0.750 0.793 Nb
0.234 0.750 0.085 Si
0.237 0.250 0.415 Si
0.275 0.250 0.752 Si
0.725 0.750 0.248 Si
0.763 0.750 0.585 Si
0.766 0.250 0.915 Si
0.014 0.250 0.593 Ru
0.148 0.250 0.958 Ru
0.358 0.750 0.297 Ru
0.642 0.250 0.703 Ru
0.852 0.750 0.042 Ru
0.986 0.750 0.407 Ru
```

Final energy   -8.922 eV/atom
Total magnetization   0.00 μB per cell
DOS(E_F)   2.4 states/eV/f.u.

A geometry-optimized NbSiRu3 structure, computed with PBE-GGA.

Structure (POSCAR):
```
NbSiRu3
1.0
-2.411 2.411 7.881
2.411 -2.411 7.881
2.411 2.411 -7.881
Nb Si Ru
2 2 6
Direct
0.146 0.146 0.000 Nb
0.854 0.854 0.000 Nb
0.250 0.750 0.500 Si
0.500 0.500 0.000 Si
0.374 0.128 0.754 Ru
0.374 0.620 0.246 Ru
0.380 0.626 0.754 Ru
0.543 0.043 0.500 Ru
0.872 0.626 0.246 Ru
0.957 0.457 0.500 Ru
```

Total magnetization   0.00 μB per cell
DOS(E_F)   4.8 states/eV/f.u.
Energy relative to the lowest polymorph listed for this composition   118 meV/atom

A geometry-optimized NbSi2Ru4 structure, computed with PBE-GGA.

Structure (POSCAR):
```
NbSi2Ru4
1.0
2.115 1.221 6.719
-2.115 1.221 6.719
0.000 -2.442 6.719
Nb Si Ru
1 2 4
Direct
0.000 0.000 0.000 Nb
0.248 0.248 0.248 Si
0.752 0.752 0.752 Si
0.129 0.129 0.129 Ru
0.378 0.378 0.378 Ru
0.622 0.622 0.622 Ru
0.871 0.871 0.871 Ru
```

Final energy   -8.616 eV/atom
Total magnetization   0.00 μB per cell
DOS(E_F)   5.9 states/eV/f.u.

A geometry-optimized NbSiRu3 structure, computed with PBE-GGA.

Structure (POSCAR):
```
NbSiRu3
1.0
4.331 0.000 0.000
0.000 4.331 0.000
0.000 0.000 4.331
Nb Si Ru
1 1 3
Direct
0.000 0.000 0.000 Nb
0.500 0.500 0.500 Si
0.000 0.500 0.500 Ru
0.500 0.000 0.500 Ru
0.500 0.500 0.000 Ru
```

Total magnetization   0.00 μB per cell
DOS(E_F)   3.6 states/eV/f.u.
Energy relative to the lowest polymorph listed for this composition   0 meV/atom

A geometry-optimized Nb3SiRu structure, computed with PBE-GGA.

Structure (POSCAR):
```
Nb3SiRu
1.0
4.772 0.000 0.000
0.000 4.772 0.000
0.000 0.000 4.772
Nb Si Ru
3 1 1
Direct
0.000 0.000 0.500 Nb
0.000 0.500 0.000 Nb
0.500 0.000 0.000 Nb
0.500 0.500 0.500 Si
0.000 0.000 0.000 Ru
```

Final energy   -7.927 eV/atom
Total magnetization   0.00 μB per cell
DOS(E_F)   6.2 states/eV/f.u.

A geometry-optimized NbSi3Ru structure, computed with PBE-GGA.

Structure (POSCAR):
```
NbSi3Ru
1.0
4.554 0.000 0.000
0.000 4.554 0.000
0.000 0.000 4.554
Nb Si Ru
1 3 1
Direct
0.000 0.000 0.000 Nb
0.000 0.500 0.500 Si
0.500 0.000 0.500 Si
0.500 0.500 0.000 Si
0.500 0.500 0.500 Ru
```

Total magnetization   2.74 μB per cell
DOS(E_F)   6.7 states/eV/f.u.
Energy relative to the lowest polymorph listed for this composition   0 meV/atom

A geometry-optimized SmNbSi2Ru structure, computed with PBE-GGA.

Structure (POSCAR):
```
SmNbSi2Ru
1.0
4.065 0.000 0.000
0.000 4.065 0.000
0.000 0.000 11.030
Sm Nb Si Ru
2 2 4 2
Direct
0.000 0.000 0.000 Sm
0.500 0.500 0.500 Sm
0.000 0.500 0.250 Nb
0.500 0.000 0.750 Nb
0.000 0.000 0.389 Si
0.000 0.000 0.611 Si
0.500 0.500 0.111 Si
0.500 0.500 0.889 Si
0.000 0.500 0.750 Ru
0.500 0.000 0.250 Ru
```

Final energy   -7.655 eV/atom
Total magnetization   0.00 μB per cell
DOS(E_F)   3.3 states/eV/f.u.

A geometry-optimized TbNbSi2Ru structure, computed with PBE-GGA.

Structure (POSCAR):
```
TbNbSi2Ru
1.0
4.035 0.000 0.000
0.000 4.035 0.000
0.000 0.000 10.983
Tb Nb Si Ru
2 2 4 2
Direct
0.000 0.000 0.000 Tb
0.500 0.500 0.500 Tb
0.000 0.500 0.250 Nb
0.500 0.000 0.750 Nb
0.000 0.000 0.391 Si
0.000 0.000 0.609 Si
0.500 0.500 0.109 Si
0.500 0.500 0.891 Si
0.000 0.500 0.750 Ru
0.500 0.000 0.250 Ru
```

Final energy   -7.645 eV/atom
Total magnetization   0.00 μB per cell
DOS(E_F)   3.2 states/eV/f.u.

A geometry-optimized ThNbSi2Ru structure, computed with PBE-GGA.

Structure (POSCAR):
```
ThNbSi2Ru
1.0
4.115 0.000 0.000
0.000 4.115 0.000
0.000 0.000 10.961
Th Nb Si Ru
2 2 4 2
Direct
0.000 0.000 0.000 Th
0.500 0.500 0.500 Th
0.000 0.500 0.750 Nb
0.500 0.000 0.250 Nb
0.000 0.000 0.388 Si
0.000 0.000 0.612 Si
0.500 0.500 0.112 Si
0.500 0.500 0.888 Si
0.000 0.500 0.250 Ru
0.500 0.000 0.750 Ru
```

Final energy   -8.186 eV/atom
Total magnetization   0.00 μB per cell
DOS(E_F)   4.1 states/eV/f.u.

A geometry-optimized Th2NbSi2Ru5 structure, computed with PBE-GGA.

Structure (POSCAR):
```
Th2NbSi2Ru5
1.0
10.089 0.000 0.000
0.000 10.089 0.000
0.000 0.000 3.432
Th Nb Si Ru
4 2 4 10
Direct
0.176 0.324 0.000 Th
0.324 0.824 0.000 Th
0.676 0.176 0.000 Th
0.824 0.676 0.000 Th
0.000 0.000 0.000 Nb
0.500 0.500 0.000 Nb
0.121 0.621 0.000 Si
0.379 0.121 0.000 Si
0.621 0.879 0.000 Si
0.879 0.379 0.000 Si
0.000 0.500 0.500 Ru
0.068 0.787 0.500 Ru
0.213 0.068 0.500 Ru
0.287 0.568 0.500 Ru
0.432 0.287 0.500 Ru
0.500 0.000 0.500 Ru
0.568 0.713 0.500 Ru
0.713 0.432 0.500 Ru
0.787 0.932 0.500 Ru
0.932 0.213 0.500 Ru
```

Final energy   -8.797 eV/atom
Total magnetization   0.00 μB per cell
DOS(E_F)   3.9 states/eV/f.u.

A geometry-optimized TiNbSi2Ru structure, computed with PBE-GGA.

Structure (POSCAR):
```
TiNbSi2Ru
1.0
4.455 0.000 0.000
0.000 4.455 0.000
0.000 0.000 4.930
Ti Nb Si Ru
1 1 2 1
Direct
0.000 0.000 0.000 Ti
0.500 0.500 0.000 Nb
0.000 0.500 0.500 Si
0.500 0.000 0.500 Si
0.500 0.500 0.500 Ru
```

Final energy   -6.983 eV/atom
Total magnetization   0.00 μB per cell
DOS(E_F)   6.2 states/eV/f.u.

A geometry-optimized Nb2VSi2Ru5 structure, computed with PBE-GGA.

Structure (POSCAR):
```
Nb2VSi2Ru5
1.0
9.807 0.000 0.000
0.000 9.807 0.000
0.000 0.000 3.033
Nb V Si Ru
4 2 4 10
Direct
0.178 0.322 0.000 Nb
0.322 0.822 0.000 Nb
0.678 0.178 0.000 Nb
0.822 0.678 0.000 Nb
0.000 0.000 0.000 V
0.500 0.500 0.000 V
0.130 0.630 0.000 Si
0.370 0.130 0.000 Si
0.630 0.870 0.000 Si
0.870 0.370 0.000 Si
0.000 0.500 0.500 Ru
0.052 0.799 0.500 Ru
0.201 0.052 0.500 Ru
0.299 0.552 0.500 Ru
0.448 0.299 0.500 Ru
0.500 0.000 0.500 Ru
0.552 0.701 0.500 Ru
0.701 0.448 0.500 Ru
0.799 0.948 0.500 Ru
0.948 0.201 0.500 Ru
```

Final energy   -9.049 eV/atom
Total magnetization   0.00 μB per cell
DOS(E_F)   7.8 states/eV/f.u.